Record 1
# HoFe4Cu3O12

An optimized crystal structure of HoFe4Cu3O12 (PBEsol, Alexandria).

Output
**Crystal system**: cubic
**Symmetry**: Im-3
**E_form (uncorrected)**: -1.39 eV per atom
**Mass density**: 7.17 g cm⁻³

Cell lengths 6.1445, 6.1445, 6.1445 Å; angles 109.47, 109.47, 109.47 degrees
Last column: nearest neighbours and their distance in Å.
Sites, in units of the cell vectors:
1 Ho 0.0000 0.0000 0.0000  12 O 2.47
2 Fe 0.0000 0.0000 0.5000  6 O 1.88
3 Fe 0.0000 0.5000 0.0000  6 O 1.88
4 Fe 0.5000 0.0000 0.0000  6 O 1.88
5 Fe 0.5000 0.5000 0.5000  6 O 1.88
6 Cu 0.0000 0.5000 0.5000  4 O 1.89
7 Cu 0.5000 0.0000 0.5000  4 O 1.89
8 Cu 0.5000 0.5000 0.0000  4 O 1.89
9 O 0.1234 0.8233 0.3000  2 Fe 1.88, 1 Cu 1.89
10 O 0.1767 0.3000 0.4767  2 Fe 1.88, 1 Cu 1.89
11 O 0.1767 0.7000 0.8766  2 Fe 1.88, 1 Cu 1.89
12 O 0.3000 0.1234 0.8233  2 Fe 1.88, 1 Cu 1.89
13 O 0.3000 0.4767 0.1767  2 Fe 1.88, 1 Cu 1.89
14 O 0.4767 0.1767 0.3000  2 Fe 1.88, 1 Cu 1.89
15 O 0.5233 0.8233 0.7000  2 Fe 1.88, 1 Cu 1.89
16 O 0.7000 0.5233 0.8233  2 Fe 1.88, 1 Cu 1.89
17 O 0.7000 0.8766 0.1767  2 Fe 1.88, 1 Cu 1.89
18 O 0.8233 0.3000 0.1234  2 Fe 1.88, 1 Cu 1.89
19 O 0.8233 0.7000 0.5233  2 Fe 1.88, 1 Cu 1.89
20 O 0.8766 0.1767 0.7000  2 Fe 1.88, 1 Cu 1.89



Record 2
# SrIn

An optimized crystal structure of SrIn (PBEsol, Alexandria).

Output
**Crystal system**: orthorhombic
**Symmetry**: Fdd2
**Energy of formation**: -466 meV/atom
**Mass density**: 5.12 g cm⁻³

Cell lengths 13.4807, 6.4548, 13.7696 Å; angles 73.82, 27.38, 78.80 degrees
Last column: nearest neighbours and their distance in Å.
Sites, in units of the cell vectors:
1 Sr 0.0284 0.9716 0.8300  7 In 3.31-3.69
2 Sr 0.0800 0.4200 0.2784  7 In 3.31-3.69
3 Sr 0.4200 0.0800 0.2216  7 In 3.31-3.69
4 Sr 0.4472 0.5841 0.7090  7 In 3.36-3.54
5 Sr 0.5410 0.9903 0.8028  7 In 3.36-3.54
6 Sr 0.5841 0.4472 0.2597  7 In 3.36-3.54
7 Sr 0.9716 0.0284 0.1700  7 In 3.31-3.69
8 Sr 0.9903 0.5410 0.6659  7 In 3.36-3.54
9 In 0.0541 0.8661 0.3726  3 In 3.14-3.34, 5 Sr 3.31-3.52
10 In 0.1441 0.4635 0.7866  3 In 3.06-3.34, 3 Sr 3.32-3.40
11 In 0.4635 0.1441 0.6058  3 In 3.06-3.34, 3 Sr 3.32-3.40
12 In 0.4634 0.6442 0.1059  3 In 3.06-3.34, 3 Sr 3.32-3.40
13 In 0.5428 0.8774 0.3839  3 In 3.14-3.34, 5 Sr 3.31-3.52
14 In 0.6442 0.4634 0.7865  3 In 3.06-3.34, 3 Sr 3.32-3.40
15 In 0.8661 0.0541 0.7072  3 In 3.14-3.34, 5 Sr 3.31-3.52
16 In 0.8774 0.5428 0.1959  3 In 3.14-3.34, 5 Sr 3.31-3.52



Record 3
# Tc2OsRu

An optimized crystal structure of Tc2OsRu (PBEsol, Alexandria).

Output
**Crystal system**: orthorhombic
**Symmetry**: Pmm2
**Energy of formation**: -86 meV/atom
**Mass density**: 14.71 g cm⁻³

Cell lengths 2.7156, 4.3061, 4.7030 Å; angles 90.00, 90.00, 90.00 degrees
Last column: nearest neighbours and their distance in Å.
Sites, in units of the cell vectors:
1 Tc 0.0000 0.0000 0.0000  4 Tc 2.66-2.72, 4 Os 2.66, 4 Ru 2.69-2.74
2 Tc 0.0000 0.5000 0.3325  4 Ru 2.66, 4 Tc 2.66-2.72, 4 Os 2.71-2.72
3 Os 0.5000 0.5000 0.8327  8 Tc 2.66-2.72, 2 Ru 2.68, 2 Os 2.72
4 Ru 0.5000 0.0000 0.4947  8 Tc 2.66-2.74, 2 Os 2.68, 2 Ru 2.72



So what do the calculations give for D(E_F)? Going down the list: 12.70, 4.95, 3.42 states/eV per cell.